# 1
{
  "formula": "Ca2CoW",
  "functional": "PBE",
  "state": "relaxed",
  "cell": [[3.571, 0.000, 0.000], [0.000, 4.533, 0.000], [0.000, 0.000, 4.857]],
  "species": ["Ca", "Ca", "Co", "W"],
  "frac_coords": [[0.000, 0.000, 0.000], [0.500, 0.500, 0.000], [0.000, 0.500, 0.500], [0.500, 0.000, 0.500]],
  "relative_energy_mev_per_atom": 640,
  "mass_density_g_cm3": 6.82,
  "crystal_system": "orthorhombic",
  "dos_at_fermi_per_ev_fu": 4.312,
  "dft_energy_ev_per_cell": -19.961,
  "ef_ev_per_atom": 1.025,
  "m_tot_mub_per_fu": 1.55
}

# 2
{
  "formula": "Ca2CoW",
  "functional": "PBE",
  "state": "relaxed",
  "cell": [[1.541, 0.890, 9.599], [-1.541, 0.890, 9.599], [0.000, -1.779, 9.599]],
  "species": ["Ca", "Ca", "Co", "W"],
  "frac_coords": [[0.242, 0.242, 0.242], [0.758, 0.758, 0.758], [0.500, 0.500, 0.500], [0.000, 0.000, 0.000]],
  "relative_energy_mev_per_atom": 557,
  "mass_density_g_cm3": 6.79,
  "crystal_system": "trigonal",
  "dos_at_fermi_per_ev_fu": 2.756,
  "dft_energy_ev_per_cell": -20.292,
  "ef_ev_per_atom": 0.942,
  "m_tot_mub_per_fu": 0.59
}

# 3
{
  "formula": "CaCo2W2",
  "functional": "PBE",
  "state": "relaxed",
  "cell": [[-2.024, 2.024, 5.215], [2.024, -2.024, 5.215], [2.024, 2.024, -5.215]],
  "species": ["Ca", "Co", "Co", "W", "W"],
  "frac_coords": [[0.000, 0.000, 0.000], [0.386, 0.386, 0.000], [0.614, 0.614, 0.000], [0.250, 0.750, 0.500], [0.750, 0.250, 0.500]],
  "mass_density_g_cm3": 10.21,
  "crystal_system": "tetragonal",
  "dos_at_fermi_per_ev_fu": 6.623,
  "dft_energy_ev_per_cell": -40.606,
  "ef_ev_per_atom": 0.303,
  "m_tot_mub_per_fu": 0.01
}

# 4
{
  "formula": "Ca2CoW",
  "functional": "PBE",
  "state": "relaxed",
  "cell": [[2.853, 0.000, 0.000], [0.000, 4.839, 0.000], [0.000, 0.000, 5.825]],
  "species": ["Ca", "Ca", "Co", "W"],
  "frac_coords": [[0.000, 0.000, 0.246], [0.000, 0.000, 0.754], [0.500, 0.500, 0.000], [0.500, 0.500, 0.500]],
  "relative_energy_mev_per_atom": 563,
  "mass_density_g_cm3": 6.67,
  "crystal_system": "orthorhombic",
  "dos_at_fermi_per_ev_fu": 3.973,
  "dft_energy_ev_per_cell": -20.268,
  "ef_ev_per_atom": 0.948,
  "m_tot_mub_per_fu": 1.67
}

# 5
{
  "formula": "Ca2CoW",
  "functional": "PBE",
  "state": "relaxed",
  "cell": [[-2.039, 2.039, 4.786], [2.039, -2.039, 4.786], [2.039, 2.039, -4.786]],
  "species": ["Ca", "Ca", "Co", "W"],
  "frac_coords": [[0.250, 0.750, 0.500], [0.750, 0.250, 0.500], [0.000, 0.000, 0.000], [0.500, 0.500, 0.000]],
  "relative_energy_mev_per_atom": 645,
  "mass_density_g_cm3": 6.74,
  "crystal_system": "tetragonal",
  "dos_at_fermi_per_ev_fu": 5.277,
  "dft_energy_ev_per_cell": -19.940,
  "ef_ev_per_atom": 1.031,
  "m_tot_mub_per_fu": 2.21
}

# 6
{
  "formula": "Ca2CoW",
  "functional": "PBE",
  "state": "relaxed",
  "cell": [[2.922, 0.000, 0.000], [0.000, 2.922, 0.000], [0.000, 0.000, 9.333]],
  "species": ["Ca", "Ca", "Co", "W"],
  "frac_coords": [[0.000, 0.000, 0.230], [0.000, 0.000, 0.770], [0.500, 0.500, 0.000], [0.500, 0.500, 0.500]],
  "relative_energy_mev_per_atom": 430,
  "mass_density_g_cm3": 6.73,
  "crystal_system": "tetragonal",
  "dos_at_fermi_per_ev_fu": 5.059,
  "dft_energy_ev_per_cell": -20.798,
  "ef_ev_per_atom": 0.816,
  "m_tot_mub_per_fu": 1.01
}

# 7
{
  "formula": "CaCo4W",
  "functional": "PBE",
  "state": "relaxed",
  "cell": [[0.000, 3.415, 3.415], [3.415, 0.000, 3.415], [3.415, 3.415, 0.000]],
  "species": ["Ca", "Co", "Co", "Co", "Co", "W"],
  "frac_coords": [[0.000, 0.000, 0.000], [0.125, 0.625, 0.625], [0.625, 0.125, 0.625], [0.625, 0.625, 0.125], [0.625, 0.625, 0.625], [0.250, 0.250, 0.250]],
  "mass_density_g_cm3": 9.58,
  "crystal_system": "cubic",
  "dos_at_fermi_per_ev_fu": 8.173,
  "dft_energy_ev_per_cell": -41.534,
  "ef_ev_per_atom": 0.307,
  "m_tot_mub_per_fu": 1.67
}

# 8
{
  "formula": "Ca3CoW",
  "functional": "PBE",
  "state": "relaxed",
  "cell": [[5.231, 0.000, 0.000], [0.000, 5.231, 0.000], [0.000, 0.000, 5.231]],
  "species": ["Ca", "Ca", "Ca", "Co", "W"],
  "frac_coords": [[0.000, 0.000, 0.500], [0.000, 0.500, 0.000], [0.500, 0.000, 0.000], [0.000, 0.000, 0.000], [0.500, 0.500, 0.500]],
  "relative_energy_mev_per_atom": 0,
  "mass_density_g_cm3": 4.21,
  "crystal_system": "cubic",
  "dos_at_fermi_per_ev_fu": 6.723,
  "dft_energy_ev_per_cell": -20.301,
  "ef_ev_per_atom": 1.153,
  "m_tot_mub_per_fu": 4.13
}

# 9
{
  "formula": "Ca2CoW",
  "functional": "PBE",
  "state": "relaxed",
  "cell": [[2.959, -4.816, 0.000], [2.959, 4.816, 0.000], [-0.007, 0.000, 2.858]],
  "species": ["Ca", "Ca", "Co", "W"],
  "frac_coords": [[0.000, 0.500, 0.000], [0.500, 0.000, 0.000], [0.000, 0.000, 0.500], [0.500, 0.500, 0.500]],
  "relative_energy_mev_per_atom": 569,
  "mass_density_g_cm3": 6.58,
  "crystal_system": "monoclinic",
  "dos_at_fermi_per_ev_fu": 4.523,
  "dft_energy_ev_per_cell": -20.245,
  "ef_ev_per_atom": 0.954,
  "m_tot_mub_per_fu": 2.00
}

# 10
{
  "formula": "Ca2CoW",
  "functional": "PBE",
  "state": "relaxed",
  "cell": [[5.541, 0.000, 0.000], [0.000, 2.825, 0.000], [-2.564, 0.000, 5.187]],
  "species": ["Ca", "Ca", "Co", "W"],
  "frac_coords": [[0.000, 0.000, 0.000], [0.000, 0.500, 0.500], [0.500, 0.000, 0.500], [0.500, 0.500, 0.000]],
  "relative_energy_mev_per_atom": 657,
  "mass_density_g_cm3": 6.60,
  "crystal_system": "monoclinic",
  "dos_at_fermi_per_ev_fu": 3.115,
  "dft_energy_ev_per_cell": -19.891,
  "ef_ev_per_atom": 1.043,
  "m_tot_mub_per_fu": 1.77
}

# 11
{
  "formula": "Ca2CoW",
  "functional": "PBE",
  "state": "relaxed",
  "cell": [[-5.214, 5.214, 2.238], [5.214, -5.214, 2.238], [5.214, 5.214, -2.238]],
  "species": ["Ca", "Ca", "Ca", "Ca", "Co", "Co", "W", "W"],
  "frac_coords": [[0.375, 0.209, 0.334], [0.791, 0.125, 0.166], [0.875, 0.041, 0.666], [0.959, 0.625, 0.834], [0.000, 0.000, 0.000], [0.750, 0.250, 0.500], [0.250, 0.750, 0.500], [0.500, 0.500, 0.000]],
  "relative_energy_mev_per_atom": 574,
  "mass_density_g_cm3": 4.41,
  "crystal_system": "tetragonal",
  "dos_at_fermi_per_ev_fu": 3.789,
  "dft_energy_ev_per_cell": -40.452,
  "ef_ev_per_atom": 0.959,
  "m_tot_mub_per_fu": 2.33
}

# 12
{
  "formula": "CaCoW4",
  "functional": "PBE",
  "state": "relaxed",
  "cell": [[0.000, 3.794, 3.794], [3.794, 0.000, 3.794], [3.794, 3.794, 0.000]],
  "species": ["Ca", "Co", "W", "W", "W", "W"],
  "frac_coords": [[0.000, 0.000, 0.000], [0.750, 0.750, 0.750], [0.375, 0.375, 0.375], [0.375, 0.375, 0.876], [0.375, 0.876, 0.375], [0.876, 0.375, 0.375]],
  "mass_density_g_cm3": 12.69,
  "crystal_system": "cubic",
  "dos_at_fermi_per_ev_fu": 7.155,
  "dft_energy_ev_per_cell": -56.400,
  "ef_ev_per_atom": 0.753,
  "m_tot_mub_per_fu": 1.62
}